1.
{"formula": "SrInHg", "functional": "PBE", "state": "relaxed", "lattice_angstrom": [[0.000, 3.799, 3.799], [3.799, 0.000, 3.799], [3.799, 3.799, 0.000]], "species": ["Sr", "In", "Hg"], "fractional_positions": [[0.000, 0.000, 0.000], [0.250, 0.250, 0.250], [0.750, 0.750, 0.750]], "volume_a3_per_atom": 36.6, "e_tot_ev_per_atom": -1.58, "spacegroup": "F-43m (216)"}

=====

2.
{"formula": "K2ScAuCl6", "functional": "PBE", "state": "relaxed", "lattice_angstrom": [[0.000, 5.172, 5.172], [5.172, 0.000, 5.172], [5.172, 5.172, 0.000]], "species": ["K", "K", "Sc", "Au", "Cl", "Cl", "Cl", "Cl", "Cl", "Cl"], "fractional_positions": [[0.250, 0.250, 0.250], [0.750, 0.750, 0.750], [0.000, 0.000, 0.000], [0.500, 0.500, 0.500], [0.240, 0.240, 0.760], [0.240, 0.760, 0.240], [0.240, 0.760, 0.760], [0.760, 0.240, 0.240], [0.760, 0.240, 0.760], [0.760, 0.760, 0.240]], "volume_a3_per_atom": 27.7, "e_tot_ev_per_atom": -3.87, "de_polymorph_mev_per_atom": 20, "spacegroup": "Fm-3m (225)"}

=====

3.
{"formula": "Cu7Ge", "functional": "PBE", "state": "relaxed", "lattice_angstrom": [[2.576, 0.000, 0.000], [0.000, 3.602, 0.000], [0.000, 0.000, 34.045]], "species": ["Cu", "Cu", "Cu", "Cu", "Cu", "Cu", "Cu", "Cu", "Cu", "Cu", "Cu", "Cu", "Cu", "Cu", "Ge", "Ge"], "fractional_positions": [[0.250, 0.250, 0.018], [0.250, 0.250, 0.093], [0.250, 0.250, 0.168], [0.250, 0.250, 0.245], [0.250, 0.250, 0.793], [0.250, 0.250, 0.869], [0.250, 0.250, 0.944], [0.750, 0.750, 0.056], [0.750, 0.750, 0.131], [0.750, 0.750, 0.207], [0.750, 0.750, 0.755], [0.750, 0.750, 0.832], [0.750, 0.750, 0.907], [0.750, 0.750, 0.982], [0.250, 0.250, 0.713], [0.750, 0.750, 0.287]], "volume_a3_per_atom": 19.7, "e_tot_ev_per_atom": -3.77, "de_polymorph_mev_per_atom": 6, "spacegroup": "Pmmn (59)"}

=====

4.
{"formula": "ThNb", "functional": "PBE", "state": "relaxed", "lattice_angstrom": [[0.000, 2.993, 2.993], [2.993, 0.000, 2.993], [2.993, 2.993, 0.000]], "species": ["Th", "Nb"], "fractional_positions": [[0.000, 0.000, 0.000], [0.500, 0.500, 0.500]], "volume_a3_per_atom": 26.8, "formation_energy_ev_per_fu": 2.12, "e_tot_ev_per_atom": -7.69, "de_polymorph_mev_per_atom": 527, "spacegroup": "Fm-3m (225)"}

=====

5.
{"formula": "ReSi2Ni", "functional": "PBE", "state": "relaxed", "lattice_angstrom": [[0.000, 2.959, 2.959], [2.959, 0.000, 2.959], [2.959, 2.959, 0.000]], "species": ["Re", "Si", "Si", "Ni"], "fractional_positions": [[0.000, 0.000, 0.000], [0.500, 0.500, 0.500], [0.750, 0.750, 0.750], [0.250, 0.250, 0.250]], "volume_a3_per_atom": 12.9, "e_tot_ev_per_atom": -6.92, "spacegroup": "F-43m (216)"}

=====

6.
{"formula": "LaInPd", "functional": "PBE", "state": "relaxed", "lattice_angstrom": [[7.780, 0.000, 0.000], [-3.890, 6.738, 0.000], [0.000, 0.000, 4.162]], "species": ["La", "La", "La", "In", "In", "In", "Pd", "Pd", "Pd"], "fractional_positions": [[0.000, 0.585, 0.000], [0.415, 0.415, 0.000], [0.585, 0.000, 0.000], [0.000, 0.246, 0.500], [0.246, 0.000, 0.500], [0.754, 0.754, 0.500], [0.000, 0.000, 0.000], [0.333, 0.667, 0.500], [0.667, 0.333, 0.500]], "volume_a3_per_atom": 24.2, "e_tot_ev_per_atom": -5.10, "spacegroup": "P-62m (189)"}

=====

7.
{"formula": "NbHgO3", "functional": "PBE", "state": "relaxed", "lattice_angstrom": [[2.847, 1.644, 4.632], [-2.847, 1.644, 4.632], [0.000, -3.288, 4.632]], "species": ["Nb", "Nb", "Hg", "Hg", "O", "O", "O", "O", "O", "O"], "fractional_positions": [[0.000, 0.000, 0.000], [0.500, 0.500, 0.500], [0.250, 0.250, 0.250], [0.750, 0.750, 0.750], [0.216, 0.750, 0.284], [0.250, 0.716, 0.784], [0.284, 0.216, 0.750], [0.716, 0.784, 0.250], [0.750, 0.284, 0.216], [0.784, 0.250, 0.716]], "volume_a3_per_atom": 13.0, "e_tot_ev_per_atom": -6.65, "spacegroup": "R-3c (167)"}

=====

8.
{"formula": "ScInFePt", "functional": "PBE", "state": "relaxed", "lattice_angstrom": [[0.000, 3.269, 3.269], [3.269, 0.000, 3.269], [3.269, 3.269, 0.000]], "species": ["Sc", "In", "Fe", "Pt"], "fractional_positions": [[0.000, 0.000, 0.000], [0.250, 0.250, 0.250], [0.500, 0.500, 0.500], [0.750, 0.750, 0.750]], "volume_a3_per_atom": 17.5, "e_tot_ev_per_atom": -6.15, "de_polymorph_mev_per_atom": 160, "spacegroup": "F-43m (216)"}

=====

9.
{"formula": "LaPrZn2Ga2", "functional": "PBE", "state": "relaxed", "lattice_angstrom": [[4.563, 0.000, 0.000], [-2.281, 3.951, 0.000], [0.000, 0.000, 7.644]], "species": ["La", "Pr", "Zn", "Zn", "Ga", "Ga"], "fractional_positions": [[0.000, 0.000, 0.000], [0.000, 0.000, 0.500], [0.333, 0.667, 0.781], [0.667, 0.333, 0.283], [0.333, 0.667, 0.218], [0.667, 0.333, 0.716]], "volume_a3_per_atom": 23.0, "e_tot_ev_per_atom": -3.60, "spacegroup": "P3m1 (156)"}

=====

10.
{"formula": "ZrScIn2", "functional": "PBE", "state": "relaxed", "lattice_angstrom": [[5.264, 0.000, 0.000], [0.000, 3.071, 5.624], [0.000, -3.071, 5.624]], "species": ["Zr", "Zr", "Sc", "Sc", "In", "In", "In", "In"], "fractional_positions": [[0.000, 0.244, 0.756], [0.000, 0.756, 0.244], [0.000, 0.744, 0.744], [0.500, 0.098, 0.098], [0.000, 0.249, 0.249], [0.500, 0.090, 0.607], [0.500, 0.589, 0.589], [0.500, 0.607, 0.090]], "volume_a3_per_atom": 22.7, "e_tot_ev_per_atom": -5.33, "de_polymorph_mev_per_atom": 54, "spacegroup": "Amm2 (38)"}

=====

11.
{"formula": "Nd3Tm3CoTe2", "functional": "PBE", "state": "relaxed", "lattice_angstrom": [[8.402, 0.000, 0.000], [-4.201, 7.277, 0.000], [0.000, 0.000, 4.003]], "species": ["Nd", "Nd", "Nd", "Tm", "Tm", "Tm", "Co", "Te", "Te"], "fractional_positions": [[0.000, 0.598, 0.000], [0.402, 0.402, 0.000], [0.598, 0.000, 0.000], [0.000, 0.229, 0.500], [0.229, 0.000, 0.500], [0.771, 0.771, 0.500], [0.000, 0.000, 0.000], [0.333, 0.667, 0.500], [0.667, 0.333, 0.500]], "volume_a3_per_atom": 27.2, "e_tot_ev_per_atom": -5.28, "de_polymorph_mev_per_atom": 0, "spacegroup": "P-62m (189)"}

=====

12.
{"formula": "Ni2Sb", "functional": "PBE", "state": "relaxed", "lattice_angstrom": [[5.150, 0.000, 0.000], [0.000, 5.150, 0.000], [0.000, 0.000, 4.284]], "species": ["Ni", "Ni", "Ni", "Ni", "Sb", "Sb"], "fractional_positions": [[0.170, 0.170, 0.000], [0.330, 0.670, 0.500], [0.670, 0.330, 0.500], [0.830, 0.830, 0.000], [0.000, 0.000, 0.500], [0.500, 0.500, 0.000]], "volume_a3_per_atom": 18.9, "e_tot_ev_per_atom": -4.66, "spacegroup": "P4_2/mnm (136)"}

=====

13.
{"formula": "GdMgZn", "functional": "PBE", "state": "relaxed", "lattice_angstrom": [[6.286, 0.000, 0.000], [2.946, 5.578, 0.000], [0.105, 0.009, 8.017]], "species": ["Gd", "Gd", "Gd", "Gd", "Mg", "Mg", "Mg", "Mg", "Zn", "Zn", "Zn", "Zn"], "fractional_positions": [[0.000, 0.000, 0.000], [0.124, 0.213, 0.409], [0.544, 0.661, 0.309], [0.728, 0.701, 0.713], [0.216, 0.713, 0.649], [0.478, 0.455, 0.963], [0.669, 0.217, 0.618], [0.992, 0.505, 0.059], [0.233, 0.230, 0.768], [0.490, 0.989, 0.026], [0.624, 0.150, 0.280], [0.995, 0.754, 0.355]], "volume_a3_per_atom": 23.4, "e_tot_ev_per_atom": -2.62, "spacegroup": "P1 (1)"}

=====

14.
{"formula": "BaNdB2Pt8", "functional": "PBE", "state": "relaxed", "lattice_angstrom": [[5.598, 0.000, 0.000], [-2.799, 4.848, 0.000], [0.000, 0.000, 7.644]], "species": ["Ba", "Nd", "B", "B", "Pt", "Pt", "Pt", "Pt", "Pt", "Pt", "Pt", "Pt"], "fractional_positions": [[0.000, 0.000, 0.000], [0.000, 0.000, 0.500], [0.333, 0.667, 0.500], [0.667, 0.333, 0.500], [0.000, 0.500, 0.304], [0.000, 0.500, 0.696], [0.333, 0.667, 0.000], [0.500, 0.000, 0.304], [0.500, 0.000, 0.696], [0.500, 0.500, 0.304], [0.500, 0.500, 0.696], [0.667, 0.333, 0.000]], "volume_a3_per_atom": 17.3, "e_tot_ev_per_atom": -6.39, "de_polymorph_mev_per_atom": 0, "spacegroup": "P6/mmm (191)"}

=====

15.
{"formula": "TaAs2C", "functional": "PBE", "state": "relaxed", "lattice_angstrom": [[3.096, 0.000, 0.000], [-1.548, 2.682, 0.000], [0.000, 0.000, 13.737]], "species": ["Ta", "Ta", "As", "As", "As", "As", "C", "C"], "fractional_positions": [[0.333, 0.667, 0.250], [0.667, 0.333, 0.750], [0.333, 0.667, 0.598], [0.333, 0.667, 0.902], [0.667, 0.333, 0.098], [0.667, 0.333, 0.402], [0.000, 0.000, 0.000], [0.000, 0.000, 0.500]], "volume_a3_per_atom": 14.3, "e_tot_ev_per_atom": -6.76, "spacegroup": "P6_3/mmc (194)"}

=====

16.
{"formula": "SrYNb2", "functional": "PBE", "state": "relaxed", "lattice_angstrom": [[0.000, 3.656, 3.656], [3.656, 0.000, 3.656], [3.656, 3.656, 0.000]], "species": ["Sr", "Y", "Nb", "Nb"], "fractional_positions": [[0.000, 0.000, 0.000], [0.750, 0.750, 0.750], [0.250, 0.250, 0.250], [0.500, 0.500, 0.500]], "volume_a3_per_atom": 24.4, "e_tot_ev_per_atom": -6.34, "spacegroup": "F-43m (216)"}

=====

17.
{"formula": "NaGdPb", "functional": "PBE", "state": "relaxed", "lattice_angstrom": [[5.214, 0.000, 0.000], [-2.607, 4.515, 0.000], [0.000, 0.000, 10.590]], "species": ["Na", "Na", "Na", "Gd", "Gd", "Gd", "Pb", "Pb", "Pb"], "fractional_positions": [[0.000, 0.000, 0.000], [0.667, 0.333, 0.317], [0.667, 0.333, 0.683], [0.333, 0.667, 0.166], [0.333, 0.667, 0.500], [0.333, 0.667, 0.834], [0.000, 0.000, 0.342], [0.000, 0.000, 0.658], [0.667, 0.333, 0.000]], "volume_a3_per_atom": 27.7, "e_tot_ev_per_atom": -3.46, "de_polymorph_mev_per_atom": 0, "spacegroup": "P-6m2 (187)"}

=====

18.
{"formula": "YMgCuSeS2", "functional": "PBE", "state": "relaxed", "lattice_angstrom": [[1.869, -6.250, 0.000], [1.869, 6.250, 0.000], [0.000, 0.000, 10.534]], "species": ["Y", "Y", "Mg", "Mg", "Cu", "Cu", "Se", "Se", "S", "S", "S", "S"], "fractional_positions": [[0.000, 0.000, 0.000], [0.000, 0.000, 0.500], [0.217, 0.783, 0.750], [0.783, 0.217, 0.250], [0.480, 0.520, 0.250], [0.520, 0.480, 0.750], [0.110, 0.890, 0.250], [0.890, 0.110, 0.750], [0.358, 0.642, 0.085], [0.358, 0.642, 0.415], [0.642, 0.358, 0.585], [0.642, 0.358, 0.915]], "volume_a3_per_atom": 20.5, "e_tot_ev_per_atom": -5.16, "spacegroup": "Cmcm (63)"}

=====

19.
{"formula": "SrCuBiPd", "functional": "PBE", "state": "relaxed", "lattice_angstrom": [[0.000, 3.596, 3.596], [3.596, 0.000, 3.596], [3.596, 3.596, 0.000]], "species": ["Sr", "Cu", "Bi", "Pd"], "fractional_positions": [[0.000, 0.000, 0.000], [0.500, 0.500, 0.500], [0.250, 0.250, 0.250], [0.750, 0.750, 0.750]], "volume_a3_per_atom": 23.2, "e_tot_ev_per_atom": -3.75, "de_polymorph_mev_per_atom": 212, "spacegroup": "F-43m (216)"}

=====

20.
{"formula": "ErMg2O4", "functional": "PBE", "state": "relaxed", "lattice_angstrom": [[0.000, 4.396, 4.396], [4.396, 0.000, 4.396], [4.396, 4.396, 0.000]], "species": ["Er", "Er", "Mg", "Mg", "Mg", "Mg", "O", "O", "O", "O", "O", "O", "O", "O"], "fractional_positions": [[0.125, 0.125, 0.125], [0.875, 0.875, 0.875], [0.000, 0.500, 0.500], [0.500, 0.000, 0.500], [0.500, 0.500, 0.000], [0.500, 0.500, 0.500], [0.263, 0.263, 0.263], [0.263, 0.263, 0.712], [0.263, 0.712, 0.263], [0.288, 0.737, 0.737], [0.712, 0.263, 0.263], [0.737, 0.288, 0.737], [0.737, 0.737, 0.288], [0.737, 0.737, 0.737]], "volume_a3_per_atom": 12.1, "e_tot_ev_per_atom": -6.52, "spacegroup": "Fd-3m (227)"}

=====

21.
{"formula": "La2AlSnPd4", "functional": "PBE", "state": "relaxed", "lattice_angstrom": [[4.530, 0.000, 0.000], [-2.265, 3.923, 0.000], [0.000, 0.000, 9.637]], "species": ["La", "La", "Al", "Sn", "Pd", "Pd", "Pd", "Pd"], "fractional_positions": [[0.333, 0.667, 0.253], [0.667, 0.333, 0.747], [0.000, 0.000, 0.500], [0.000, 0.000, 0.000], [0.333, 0.667, 0.567], [0.333, 0.667, 0.918], [0.667, 0.333, 0.082], [0.667, 0.333, 0.433]], "volume_a3_per_atom": 21.4, "e_tot_ev_per_atom": -5.65, "spacegroup": "P-3m1 (164)"}

=====

22.
{"formula": "YAuSO", "functional": "PBE", "state": "relaxed", "lattice_angstrom": [[3.905, 0.000, 0.000], [0.000, 3.905, 0.000], [0.000, 0.000, 9.092]], "species": ["Y", "Y", "Au", "Au", "S", "S", "O", "O"], "fractional_positions": [[0.250, 0.250, 0.124], [0.750, 0.750, 0.876], [0.250, 0.750, 0.500], [0.750, 0.250, 0.500], [0.250, 0.250, 0.715], [0.750, 0.750, 0.285], [0.250, 0.750, 0.000], [0.750, 0.250, 0.000]], "volume_a3_per_atom": 17.3, "e_tot_ev_per_atom": -6.48, "de_polymorph_mev_per_atom": 171, "spacegroup": "P4/nmm (129)"}

=====

23.
{"formula": "PrGdTl2Pd4", "functional": "PBE", "state": "relaxed", "lattice_angstrom": [[4.698, 0.000, 0.000], [-2.349, 4.068, 0.000], [0.000, 0.000, 9.039]], "species": ["Pr", "Gd", "Tl", "Tl", "Pd", "Pd", "Pd", "Pd"], "fractional_positions": [[0.000, 0.000, 0.000], [0.333, 0.667, 0.500], [0.667, 0.333, 0.255], [0.667, 0.333, 0.745], [0.000, 0.000, 0.342], [0.000, 0.000, 0.658], [0.333, 0.667, 0.166], [0.333, 0.667, 0.834]], "volume_a3_per_atom": 21.6, "e_tot_ev_per_atom": -5.00, "spacegroup": "P-6m2 (187)"}